# 1
DFT (GGA-PBEsol) results for a geometry-optimized YTa2RhF structure.

Cell: 5.094 5.094 3.945 Å, 90.00 90.00 90.00°
Sites, in units of the cell vectors:
1 Y 0.000 0.000 0.000
2 Ta 0.000 0.500 0.000
3 Ta 0.500 0.000 0.000
4 Rh 0.500 0.500 0.500
5 F 0.000 0.000 0.500

**Space-group type**: No. 123
**VASP energy**: -36.1 eV/f.u.
**Formation energy (no corrections)**: 1182 meV per atom
**Total moment**: 0.00 Bohr magnetons per cell

# 2
DFT (GGA-PBEsol) results for a geometry-optimized TbY3 structure.

Cell: 4.948 4.948 4.948 Å, 90.00 90.00 90.00°
Sites, in units of the cell vectors:
1 Tb 0.000 0.000 0.000
2 Y 0.000 0.500 0.500
3 Y 0.500 0.000 0.500
4 Y 0.500 0.500 0.000

**Energy of formation from the pure elements**: 0.02 eV per atom
**Space-group type**: No. 221
**VASP energy**: -25.4 eV/f.u.
**Total moment**: 0.00 Bohr magnetons per cell

# 3
DFT (GGA-PBEsol) results for a geometry-optimized Pd4S structure.

Cell: 5.093 5.093 5.539 Å, 90.00 90.00 90.00°
Sites, in units of the cell vectors:
1 Pd 0.145 0.267 0.158
2 Pd 0.233 0.355 0.658
3 Pd 0.267 0.855 0.842
4 Pd 0.355 0.767 0.342
5 Pd 0.645 0.233 0.342
6 Pd 0.733 0.145 0.842
7 Pd 0.767 0.645 0.658
8 Pd 0.855 0.733 0.158
9 S 0.000 0.000 0.500
10 S 0.500 0.500 0.000

**Space-group type**: No. 114
**VASP energy**: -29.4 eV/f.u.
**Formation energy (no corrections)**: -233 meV per atom
**Total moment**: 0.00 Bohr magnetons per cell

# 4
DFT (GGA-PBEsol) results for a geometry-optimized NbRhF2 structure.

Cell: 8.379 8.379 8.379 Å, 18.96 18.96 18.96°
Sites, in units of the cell vectors:
1 Nb 0.000 0.000 0.000
2 Rh 0.500 0.500 0.500
3 F 0.081 0.081 0.081
4 F 0.919 0.919 0.919

**Energy above the most stable polymorph in this dataset**: 0.000 eV/atom
**Space-group type**: No. 166
**VASP energy**: -25.7 eV/f.u.
**Formation energy (no corrections)**: -721 meV per atom
**Total moment**: 1.14 Bohr magnetons per cell

# 5
DFT (GGA-PBEsol) results for a geometry-optimized Zr2Ti2In structure.

Cell: 7.219 7.219 3.774 Å, 90.00 90.00 90.00°
Sites, in units of the cell vectors:
1 Zr 0.169 0.331 0.000
2 Zr 0.331 0.831 0.000
3 Zr 0.669 0.169 0.000
4 Zr 0.831 0.669 0.000
5 Ti 0.129 0.629 0.500
6 Ti 0.371 0.129 0.500
7 Ti 0.629 0.871 0.500
8 Ti 0.871 0.371 0.500
9 In 0.000 0.000 0.500
10 In 0.500 0.500 0.500

**Energy of formation from the pure elements**: -0.10 eV per atom
**Space-group type**: No. 127
**VASP energy**: -38.3 eV/f.u.
**Total moment**: 0.00 Bohr magnetons per cell

# 6
DFT (GGA-PBEsol) results for a geometry-optimized MnSb5 structure.

Cell: 6.850 6.850 7.544 Å, 109.85 109.85 27.91°
Sites, in units of the cell vectors:
1 Mn 0.000 0.000 0.000
2 Sb 0.004 0.004 0.376
3 Sb 0.351 0.351 0.045
4 Sb 0.376 0.376 0.680
5 Sb 0.606 0.606 0.817
6 Sb 0.652 0.652 0.227

**Energy above the most stable polymorph in this dataset**: 0.000 eV/atom
**Space-group type**: No. 8
**VASP energy**: -31.5 eV/f.u.
**Formation energy (no corrections)**: 170 meV per atom
**Total moment**: 1.58 Bohr magnetons per cell